Here is crystalline Ca2SeCl at its relaxed geometry from the Alexandria database. Energies are from PBE.

It has space group Fm-3m (No. 225), with a = 7.198 Å, b = 7.198 Å, c = 7.198 Å, α = 90.00°, β = 90.00° and γ = 90.00°. The inequivalent atoms are Ca at (0.250, 0.250, 0.250), Se at (0.000, 0.000, 0.000) and Cl at (0.000, 0.000, 0.500).

The calculation puts the formation energy from raw total energies at -1539.8 meV/atom. For the excess energy over the best structure of this formula in the dataset, the calculation gives 219.6 meV per atom. The density of states at the Fermi level comes out at 9.85 states/eV/cell.